DFT (meta-GGA SCAN) results for a PBEsol-optimized structure of LiZnBr2.

Lattice parameters (Å, degrees): 3.474 4.898 4.898 90.00 90.00 90.00
Atoms (fractional coordinates):
Br1 0.000 0.000 0.500
Br2 0.000 0.500 0.000
Li1 0.500 0.500 0.500
Zn1 0.500 0.000 0.000

uncorrected formation energy	-0.6506	eV/atom
VASP energy	-14.357	eV/atom